1.
Below is Sr4SnO after structural relaxation, with properties calculated at the PBE level.

Geometry as CIF:
```
data_Sr4SnO
_chemical_formula_sum 'Sr8 Sn2 O2'
_space_group_name_H-M_alt 'P 1'
_space_group_IT_number 1
_space_group_name_Hall 'P 1'
_cell_length_a 6.137
_cell_length_b 7.335
_cell_length_c 10.229
_cell_angle_alpha 111.01
_cell_angle_beta 109.01
_cell_angle_gamma 90.00
loop_
_atom_site_label
_atom_site_fract_x
_atom_site_fract_y
_atom_site_fract_z
Sr1 0.585 0.383 0.249
Sn1 0.816 0.814 0.628
Sn2 0.184 0.186 0.372
Sr2 0.000 0.732 0.000
Sr3 0.184 0.696 0.391
Sr4 0.000 0.268 0.000
O1 0.718 0.417 0.835
Sr5 0.585 0.866 0.249
O2 0.282 0.583 0.165
Sr6 0.415 0.134 0.751
Sr7 0.816 0.304 0.609
Sr8 0.415 0.617 0.751
```

Properties
The uncorrected formation energy is -1077 meV per atom.

---

2.
Below is SrSnO3 after structural relaxation, with properties calculated at the PBE level.

Geometry as CIF:
```
data_SrSnO3
_chemical_formula_sum 'Sr2 Sn2 O6'
_space_group_name_H-M_alt 'P 1'
_space_group_IT_number 1
_space_group_name_Hall 'P 1'
_cell_length_a 4.492
_cell_length_b 4.492
_cell_length_c 9.255
_cell_angle_alpha 75.95
_cell_angle_beta 75.95
_cell_angle_gamma 90.00
loop_
_atom_site_label
_atom_site_fract_x
_atom_site_fract_y
_atom_site_fract_z
O1 0.644 0.908 0.184
Sn1 0.000 0.000 0.000
Sr1 0.850 0.350 0.300
Sr2 0.650 0.150 0.700
O2 0.092 0.356 0.816
O3 0.172 0.908 0.184
O4 0.092 0.828 0.816
O5 0.730 0.730 0.539
O6 0.270 0.270 0.461
Sn2 0.250 0.750 0.500
```

Properties
The uncorrected formation energy is -1431 meV per atom.

---

3.
Below is Sr3Sn2O7 after structural relaxation, with properties calculated at the PBE level.

Geometry as CIF:
```
data_Sr3Sn2O7
_chemical_formula_sum 'Sr3 Sn2 O7'
_space_group_name_H-M_alt 'P 1'
_space_group_IT_number 1
_space_group_name_Hall 'P 1'
_cell_length_a 4.120
_cell_length_b 4.120
_cell_length_c 10.822
_cell_angle_alpha 100.97
_cell_angle_beta 100.97
_cell_angle_gamma 90.00
loop_
_atom_site_label
_atom_site_fract_x
_atom_site_fract_y
_atom_site_fract_z
Sr1 0.500 0.500 0.000
O1 0.097 0.597 0.195
Sn1 0.901 0.901 0.801
O2 0.903 0.403 0.805
O3 0.199 0.199 0.397
Sr2 0.314 0.314 0.629
Sn2 0.099 0.099 0.199
O4 0.403 0.903 0.805
O5 0.597 0.097 0.195
O6 0.801 0.801 0.603
O7 0.000 0.000 0.000
Sr3 0.686 0.686 0.371
```

Properties
The uncorrected formation energy is -2296 meV per atom.

---

4.
Below is SrSnO3 after structural relaxation, with properties calculated at the PBE level.

Geometry as CIF:
```
data_SrSnO3
_chemical_formula_sum 'Sr4 Sn4 O12'
_space_group_name_H-M_alt 'P 1'
_space_group_IT_number 1
_space_group_name_Hall 'P 1'
_cell_length_a 5.815
_cell_length_b 8.191
_cell_length_c 5.785
_cell_angle_alpha 90.00
_cell_angle_beta 90.00
_cell_angle_gamma 90.00
loop_
_atom_site_label
_atom_site_fract_x
_atom_site_fract_y
_atom_site_fract_z
Sr1 0.468 0.750 0.507
Sn1 0.000 0.000 0.500
O1 0.786 0.039 0.214
Sr2 0.968 0.750 0.993
O2 0.214 0.539 0.786
O3 0.286 0.039 0.286
O4 0.286 0.461 0.286
O5 0.714 0.961 0.714
O6 0.214 0.961 0.786
O7 0.786 0.461 0.214
O8 0.982 0.250 0.574
Sr3 0.032 0.250 0.007
Sn2 0.500 0.000 0.000
Sn3 0.500 0.500 0.000
O9 0.018 0.750 0.426
Sn4 0.000 0.500 0.500
O10 0.518 0.750 0.074
O11 0.714 0.539 0.714
O12 0.482 0.250 0.926
Sr4 0.532 0.250 0.493
```

Properties
The uncorrected formation energy is -2221 meV per atom.

---

5.
Below is SrSn2O after structural relaxation, with properties calculated at the PBE level.

Geometry as CIF:
```
data_SrSn2O
_chemical_formula_sum 'Sr2 Sn4 O2'
_space_group_name_H-M_alt 'P 1'
_space_group_IT_number 1
_space_group_name_Hall 'P 1'
_cell_length_a 7.371
_cell_length_b 7.371
_cell_length_c 6.625
_cell_angle_alpha 56.20
_cell_angle_beta 56.20
_cell_angle_gamma 90.00
loop_
_atom_site_label
_atom_site_fract_x
_atom_site_fract_y
_atom_site_fract_z
Sn1 0.375 0.501 0.750
O1 0.250 0.750 0.500
O2 0.500 0.500 0.000
Sn2 0.875 0.749 0.750
Sn3 0.499 0.125 0.250
Sn4 0.251 0.625 0.250
Sr1 0.000 0.000 0.000
Sr2 0.750 0.250 0.500
```

Properties
The uncorrected formation energy is -497 meV per atom.

---

6.
Below is Sr3SnO4 after structural relaxation, with properties calculated at the PBE level.

Geometry as CIF:
```
data_Sr3SnO4
_chemical_formula_sum 'Sr3 Sn1 O4'
_space_group_name_H-M_alt 'P 1'
_space_group_IT_number 1
_space_group_name_Hall 'P 1'
_cell_length_a 5.181
_cell_length_b 5.181
_cell_length_c 6.358
_cell_angle_alpha 114.05
_cell_angle_beta 114.05
_cell_angle_gamma 90.00
loop_
_atom_site_label
_atom_site_fract_x
_atom_site_fract_y
_atom_site_fract_z
Sr1 0.250 0.750 0.500
O1 0.000 0.500 0.000
Sr2 0.500 0.500 0.000
O2 0.500 0.000 0.000
O3 0.253 0.253 0.507
Sn1 0.000 0.000 0.000
O4 0.747 0.747 0.493
Sr3 0.750 0.250 0.500
```

Properties
The uncorrected formation energy is -2296 meV per atom.

---

7.
Below is SrSnO3 after structural relaxation, with properties calculated at the PBE level.

Geometry as CIF:
```
data_SrSnO3
_chemical_formula_sum 'Sr2 Sn2 O6'
_space_group_name_H-M_alt 'P 1'
_space_group_IT_number 1
_space_group_name_Hall 'P 1'
_cell_length_a 5.770
_cell_length_b 5.770
_cell_length_c 5.770
_cell_angle_alpha 60.68
_cell_angle_beta 60.68
_cell_angle_gamma 60.68
loop_
_atom_site_label
_atom_site_fract_x
_atom_site_fract_y
_atom_site_fract_z
O1 0.046 0.479 0.613
Sr1 0.046 0.046 0.046
Sn1 0.796 0.796 0.796
O2 0.546 0.113 0.979
Sr2 0.546 0.546 0.546
O3 0.613 0.046 0.479
O4 0.113 0.979 0.546
O5 0.979 0.546 0.113
Sn2 0.296 0.296 0.296
O6 0.479 0.613 0.046
```

Properties
The uncorrected formation energy is -2214 meV per atom.

---

8.
Below is Sr3SnO after structural relaxation, with properties calculated at the PBE level.

Geometry as CIF:
```
data_Sr3SnO
_chemical_formula_sum 'Sr3 Sn1 O1'
_space_group_name_H-M_alt 'P 1'
_space_group_IT_number 1
_space_group_name_Hall 'P 1'
_cell_length_a 5.180
_cell_length_b 5.180
_cell_length_c 5.180
_cell_angle_alpha 90.00
_cell_angle_beta 90.00
_cell_angle_gamma 90.00
loop_
_atom_site_label
_atom_site_fract_x
_atom_site_fract_y
_atom_site_fract_z
O1 0.000 0.000 0.000
Sr1 0.500 0.000 0.000
Sr2 0.000 0.000 0.500
Sn1 0.500 0.500 0.500
Sr3 0.000 0.500 0.000
```

Properties
The uncorrected formation energy is -1512 meV per atom.

---

9.
Below is Sr6Sn2O after structural relaxation, with properties calculated at the PBE level.

Geometry as CIF:
```
data_Sr6Sn2O
_chemical_formula_sum 'Sr12 Sn4 O2'
_space_group_name_H-M_alt 'P 1'
_space_group_IT_number 1
_space_group_name_Hall 'P 1'
_cell_length_a 7.538
_cell_length_b 7.510
_cell_length_c 10.644
_cell_angle_alpha 90.00
_cell_angle_beta 89.99
_cell_angle_gamma 90.00
loop_
_atom_site_label
_atom_site_fract_x
_atom_site_fract_y
_atom_site_fract_z
Sr1 0.720 0.234 0.974
Sn1 0.003 0.516 0.250
Sn2 0.997 0.484 0.750
O1 0.500 0.500 0.000
Sr2 0.551 0.496 0.243
Sr3 0.280 0.766 0.026
Sr4 0.735 0.221 0.527
Sr5 0.235 0.279 0.027
Sr6 0.265 0.779 0.473
Sr7 0.449 0.504 0.757
Sn3 0.503 0.984 0.750
Sr8 0.220 0.266 0.474
Sr9 0.949 0.996 0.257
O2 0.000 0.000 0.500
Sr10 0.765 0.721 0.973
Sn4 0.497 0.016 0.250
Sr11 0.780 0.734 0.526
Sr12 0.051 0.004 0.743
```

Properties
The uncorrected formation energy is -988 meV per atom.

---

10.
Below is SrSnO3 after structural relaxation, with properties calculated at the PBE level.

Geometry as CIF:
```
data_SrSnO3
_chemical_formula_sum 'Sr2 Sn2 O6'
_space_group_name_H-M_alt 'P 1'
_space_group_IT_number 1
_space_group_name_Hall 'P 1'
_cell_length_a 17.938
_cell_length_b 7.515
_cell_length_c 7.515
_cell_angle_alpha 149.21
_cell_angle_beta 154.96
_cell_angle_gamma 25.04
loop_
_atom_site_label
_atom_site_fract_x
_atom_site_fract_y
_atom_site_fract_z
O1 0.884 0.150 0.850
O2 0.505 0.676 0.324
O3 0.055 0.263 0.737
O4 0.945 0.737 0.263
Sr1 0.157 0.975 0.025
O5 0.495 0.324 0.676
O6 0.116 0.850 0.150
Sn1 0.328 0.020 0.980
Sr2 0.843 0.025 0.975
Sn2 0.672 0.980 0.020
```

Properties
The uncorrected formation energy is -1699 meV per atom.

---

| no. | DOS at the Fermi energy (states/eV/cell) | final energy (eV per atom) | M_tot (μB per formula unit) |
| --- | --- | --- | --- |
| 1 | 4.40 | -3.692 | 0.9 |
| 2 | 4.09 | -5.543 | 0.0 |
| 3 | 0.00 | -6.276 | 0.0 |
| 4 | 0.00 | -6.333 | 0.0 |
| 5 | 8.04 | -4.159 | 0.0 |
| 6 | 0.00 | -5.906 | 0.0 |
| 7 | 0.00 | -6.326 | 0.0 |
| 8 | 0.02 | -4.313 | 0.0 |
| 9 | 8.79 | -3.550 | 0.0 |
| 10 | 2.17 | -5.811 | 0.0 |